DFT (GGA+U) results for an optimized crystal structure of GaIr2WO.

For the spin magnetization, the calculation gives 0.000 μB/cell. The space group is No. 123. As for the total DFT energy (no corrections): -30.22 eV/f.u.

Cell: 4.979 4.979 3.729 Å, 90.00 90.00 90.00°
Atoms (fractional coordinates):
Ga (0.000, 0.000, 0.000)
Ir (0.000, 0.500, 0.500)
Ir (0.500, 0.000, 0.500)
W (0.500, 0.500, 0.500)
O (0.500, 0.500, 0.000)